No. 1
# NiOs2 | Alexandria | GGA-PBEsol | relaxed
data_NiOs2
_chemical_formula_sum 'Ni2 Os4'
_space_group_name_H-M_alt 'P 1'
_space_group_IT_number 1
_cell_length_a 2.690
_cell_length_b 4.255
_cell_length_c 6.916
_cell_angle_alpha 90.00
_cell_angle_beta 101.21
_cell_angle_gamma 90.00
loop_
_space_group_symop_operation_xyz
'x,y,z'
loop_
_atom_site_label
_atom_site_type_symbol
_atom_site_fract_x
_atom_site_fract_y
_atom_site_fract_z
Os1 Os 0.058 0.750 0.116
Os2 Os 0.942 0.250 0.884
Os3 Os 0.615 0.250 0.231
Os4 Os 0.385 0.750 0.769
Ni1 Ni 0.724 0.750 0.448
Ni2 Ni 0.276 0.250 0.552
# DFT formation energy (eV per formula unit): 0.26
# Crystal system: orthorhombic
# Magnetic moment (μB/cell): 0.00
# SG: Cmcm
# ΔE to the lowest computed polymorph (meV per atom): 17

No. 2
# CrPt2Cl | Alexandria | GGA-PBEsol | relaxed
data_CrPt2Cl
_chemical_formula_sum 'Cr1 Pt2 Cl1'
_space_group_name_H-M_alt 'P 1'
_space_group_IT_number 1
_cell_length_a 2.823
_cell_length_b 4.853
_cell_length_c 4.853
_cell_angle_alpha 112.96
_cell_angle_beta 90.00
_cell_angle_gamma 90.00
loop_
_space_group_symop_operation_xyz
'x,y,z'
loop_
_atom_site_label
_atom_site_type_symbol
_atom_site_fract_x
_atom_site_fract_y
_atom_site_fract_z
Pt1 Pt 0.000 0.000 0.500
Pt2 Pt 0.000 0.500 0.000
Cl1 Cl 0.500 0.000 0.000
Cr1 Cr 0.500 0.500 0.500
# ΔE_f (raw) (meV/atom): 555.9
# Crystal system: orthorhombic
# Magnetic moment (μB/cell): 3.63
# SG: Cmmm
# ΔE to the lowest computed polymorph (meV per atom): 499

No. 3
# Mn2TcAgCl | Alexandria | GGA-PBEsol | relaxed
data_Mn2TcAgCl
_chemical_formula_sum 'Mn2 Tc1 Ag1 Cl1'
_space_group_name_H-M_alt 'P 1'
_space_group_IT_number 1
_cell_length_a 4.181
_cell_length_b 4.181
_cell_length_c 4.566
_cell_angle_alpha 90.00
_cell_angle_beta 90.00
_cell_angle_gamma 90.00
loop_
_space_group_symop_operation_xyz
'x,y,z'
loop_
_atom_site_label
_atom_site_type_symbol
_atom_site_fract_x
_atom_site_fract_y
_atom_site_fract_z
Ag1 Ag 0.000 0.000 0.500
Mn1 Mn 0.000 0.500 0.000
Mn2 Mn 0.500 0.000 0.000
Tc1 Tc 0.500 0.500 0.500
Cl1 Cl 0.000 0.000 0.000
# ΔE_f (raw) (meV/atom): 1296.5
# Crystal system: tetragonal
# Magnetic moment (μB/cell): 8.05
# SG: P4/mmm

No. 4
# Sb2MoCl | Alexandria | GGA-PBEsol | relaxed
data_Sb2MoCl
_chemical_formula_sum 'Sb4 Mo2 Cl2'
_space_group_name_H-M_alt 'P 1'
_space_group_IT_number 1
_cell_length_a 6.375
_cell_length_b 6.375
_cell_length_c 7.694
_cell_angle_alpha 114.48
_cell_angle_beta 114.48
_cell_angle_gamma 90.00
loop_
_space_group_symop_operation_xyz
'x,y,z'
loop_
_atom_site_label
_atom_site_type_symbol
_atom_site_fract_x
_atom_site_fract_y
_atom_site_fract_z
Mo1 Mo 0.000 0.000 0.000
Mo2 Mo 0.250 0.750 0.500
Cl1 Cl 0.500 0.500 0.000
Cl2 Cl 0.750 0.250 0.500
Sb1 Sb 0.125 0.065 0.750
Sb2 Sb 0.935 0.375 0.250
Sb3 Sb 0.625 0.685 0.750
Sb4 Sb 0.315 0.875 0.250
# ΔE_f (raw) (meV/atom): 579.5
# Crystal system: tetragonal
# Magnetic moment (μB/cell): 0.00
# SG: I-42d
# ΔE to the lowest computed polymorph (meV per atom): 517

No. 5
# TlFe2Pt | Alexandria | GGA-PBEsol | relaxed
data_TlFe2Pt
_chemical_formula_sum 'Tl1 Fe2 Pt1'
_space_group_name_H-M_alt 'P 1'
_space_group_IT_number 1
_cell_length_a 3.928
_cell_length_b 3.931
_cell_length_c 4.757
_cell_angle_alpha 114.41
_cell_angle_beta 114.39
_cell_angle_gamma 90.00
loop_
_space_group_symop_operation_xyz
'x,y,z'
loop_
_atom_site_label
_atom_site_type_symbol
_atom_site_fract_x
_atom_site_fract_y
_atom_site_fract_z
Fe1 Fe 0.750 0.750 0.500
Fe2 Fe 0.250 0.250 0.500
Tl1 Tl 0.000 0.500 0.000
Pt1 Pt 0.500 0.000 0.000
# DFT formation energy (eV per formula unit): 1.11
# Crystal system: tetragonal
# Magnetic moment (μB/cell): 5.41
# SG: I4/mmm
# ΔE to the lowest computed polymorph (meV per atom): 66

No. 6
# AlRh5 | Alexandria | GGA-PBEsol | relaxed
data_AlRh5
_chemical_formula_sum 'Al1 Rh5'
_space_group_name_H-M_alt 'P 1'
_space_group_IT_number 1
_cell_length_a 2.711
_cell_length_b 5.002
_cell_length_c 6.429
_cell_angle_alpha 104.90
_cell_angle_beta 90.00
_cell_angle_gamma 105.72
loop_
_space_group_symop_operation_xyz
'x,y,z'
loop_
_atom_site_label
_atom_site_type_symbol
_atom_site_fract_x
_atom_site_fract_y
_atom_site_fract_z
Rh1 Rh 0.664 0.328 0.328
Rh2 Rh 0.386 0.772 0.275
Rh3 Rh 0.058 0.116 0.607
Rh4 Rh 0.339 0.679 0.676
Rh5 Rh 0.719 0.439 0.946
Al1 Al 0.000 0.999 0.002
# DFT formation energy (eV per formula unit): -1.69
# Crystal system: monoclinic
# Magnetic moment (μB/cell): 0.00
# SG: Cm

No. 7
# CePrMg2 | Alexandria | GGA-PBEsol | relaxed
data_CePrMg2
_chemical_formula_sum 'Ce1 Pr1 Mg2'
_space_group_name_H-M_alt 'P 1'
_space_group_IT_number 1
_cell_length_a 5.404
_cell_length_b 5.404
_cell_length_c 5.404
_cell_angle_alpha 60.00
_cell_angle_beta 60.00
_cell_angle_gamma 60.00
loop_
_space_group_symop_operation_xyz
'x,y,z'
loop_
_atom_site_label
_atom_site_type_symbol
_atom_site_fract_x
_atom_site_fract_y
_atom_site_fract_z
Pr1 Pr 0.000 0.000 0.000
Mg1 Mg 0.250 0.250 0.250
Mg2 Mg 0.750 0.750 0.750
Ce1 Ce 0.500 0.500 0.500
# DFT formation energy (eV per formula unit): 0.20
# Crystal system: cubic
# Magnetic moment (μB/cell): 0.91
# SG: Fm-3m

No. 8
# RbMn2SeO | Alexandria | GGA-PBEsol | relaxed
data_RbMn2SeO
_chemical_formula_sum 'Rb1 Mn2 Se1 O1'
_space_group_name_H-M_alt 'P 1'
_space_group_IT_number 1
_cell_length_a 4.128
_cell_length_b 4.128
_cell_length_c 6.368
_cell_angle_alpha 90.00
_cell_angle_beta 90.00
_cell_angle_gamma 90.00
loop_
_space_group_symop_operation_xyz
'x,y,z'
loop_
_atom_site_label
_atom_site_type_symbol
_atom_site_fract_x
_atom_site_fract_y
_atom_site_fract_z
Se1 Se 0.000 0.000 0.500
Mn1 Mn 0.500 0.000 0.000
Mn2 Mn 0.000 0.500 0.000
O1 O 0.000 0.000 0.000
Rb1 Rb 0.500 0.500 0.500
# ΔE_f (raw) (meV/atom): 51.2
# Crystal system: tetragonal
# Magnetic moment (μB/cell): 8.55
# SG: P4/mmm

No. 9
# KI2F | Alexandria | GGA-PBEsol | relaxed
data_KI2F
_chemical_formula_sum 'K2 I4 F2'
_space_group_name_H-M_alt 'P 1'
_space_group_IT_number 1
_cell_length_a 5.508
_cell_length_b 5.508
_cell_length_c 11.728
_cell_angle_alpha 103.58
_cell_angle_beta 103.58
_cell_angle_gamma 90.00
loop_
_space_group_symop_operation_xyz
'x,y,z'
loop_
_atom_site_label
_atom_site_type_symbol
_atom_site_fract_x
_atom_site_fract_y
_atom_site_fract_z
K1 K 0.250 0.750 0.500
K2 K 0.000 0.000 0.000
I1 I 0.625 0.439 0.750
I2 I 0.125 0.311 0.750
I3 I 0.561 0.875 0.250
I4 I 0.689 0.375 0.250
F1 F 0.750 0.250 0.500
F2 F 0.500 0.500 0.000
# ΔE_f (raw) (meV/atom): -793.9
# Crystal system: tetragonal
# Magnetic moment (μB/cell): 0.59
# SG: I-42d

No. 10
# Mg2TlTe | Alexandria | GGA-PBEsol | relaxed
data_Mg2TlTe
_chemical_formula_sum 'Mg4 Tl2 Te2'
_space_group_name_H-M_alt 'P 1'
_space_group_IT_number 1
_cell_length_a 6.560
_cell_length_b 6.560
_cell_length_c 6.560
_cell_angle_alpha 105.28
_cell_angle_beta 105.28
_cell_angle_gamma 118.23
loop_
_space_group_symop_operation_xyz
'x,y,z'
loop_
_atom_site_label
_atom_site_type_symbol
_atom_site_fract_x
_atom_site_fract_y
_atom_site_fract_z
Tl1 Tl 0.000 0.000 0.000
Tl2 Tl 0.250 0.750 0.500
Mg1 Mg 0.390 0.875 0.015
Mg2 Mg 0.125 0.140 0.515
Mg3 Mg 0.625 0.610 0.485
Mg4 Mg 0.860 0.375 0.985
Te1 Te 0.500 0.500 0.000
Te2 Te 0.750 0.250 0.500
# ΔE_f (raw) (meV/atom): -235.5
# Crystal system: tetragonal
# Magnetic moment (μB/cell): 0.00
# SG: I-42d
# ΔE to the lowest computed polymorph (meV per atom): 14

No. 11
# LiZnIn2 | Alexandria | GGA-PBEsol | relaxed
data_LiZnIn2
_chemical_formula_sum 'Li1 Zn1 In2'
_space_group_name_H-M_alt 'P 1'
_space_group_IT_number 1
_cell_length_a 3.300
_cell_length_b 4.834
_cell_length_c 5.434
_cell_angle_alpha 100.57
_cell_angle_beta 90.00
_cell_angle_gamma 109.96
loop_
_space_group_symop_operation_xyz
'x,y,z'
loop_
_atom_site_label
_atom_site_type_symbol
_atom_site_fract_x
_atom_site_fract_y
_atom_site_fract_z
In1 In 0.247 0.494 0.250
In2 In 0.753 0.506 0.750
Li1 Li 0.000 0.000 0.500
Zn1 Zn 0.500 0.000 0.000
# DFT formation energy (eV per formula unit): -0.29
# Crystal system: monoclinic
# Magnetic moment (μB/cell): 0.00
# SG: C2/m

No. 12
# Li2ReNi | Alexandria | GGA-PBEsol | relaxed
data_Li2ReNi
_chemical_formula_sum 'Li2 Re1 Ni1'
_space_group_name_H-M_alt 'P 1'
_space_group_IT_number 1
_cell_length_a 2.461
_cell_length_b 4.346
_cell_length_c 4.782
_cell_angle_alpha 90.00
_cell_angle_beta 90.00
_cell_angle_gamma 90.00
loop_
_space_group_symop_operation_xyz
'x,y,z'
loop_
_atom_site_label
_atom_site_type_symbol
_atom_site_fract_x
_atom_site_fract_y
_atom_site_fract_z
Ni1 Ni 0.500 0.500 0.000
Li1 Li 0.000 0.000 0.751
Li2 Li 0.000 0.000 0.249
Re1 Re 0.500 0.500 0.500
# DFT formation energy (eV per formula unit): 1.46
# Crystal system: orthorhombic
# Magnetic moment (μB/cell): 0.00
# SG: Pmmm
# ΔE to the lowest computed polymorph (meV per atom): 0